[1]
# CsPaZn2Cl8 | Alexandria | PBE | optimized geometry
data_CsPaZn2Cl8
_symmetry_space_group_name_H-M 'P 1'
_symmetry_Int_Tables_number 1
_cell_length_a 11.0386
_cell_length_b 11.0386
_cell_length_c 11.0386
_cell_angle_alpha 34.87
_cell_angle_beta 34.87
_cell_angle_gamma 34.87
loop_
_symmetry_equiv_pos_as_xyz
'x,y,z'
loop_
_atom_site_label
_atom_site_fract_x
_atom_site_fract_y
_atom_site_fract_z
Cs1 0.0000 0.0000 0.0000
Pa1 0.5000 0.5000 0.5000
Zn1 0.2478 0.2478 0.2478
Zn2 0.7522 0.7522 0.7522
Cl1 0.1070 0.4492 0.7837
Cl2 0.2163 0.8930 0.5508
Cl3 0.3189 0.3189 0.3189
Cl4 0.4492 0.7837 0.1070
Cl5 0.5508 0.2163 0.8930
Cl6 0.6811 0.6811 0.6811
Cl7 0.7837 0.1070 0.4492
Cl8 0.8930 0.5508 0.2163
# Density in g/cm³: 3.29
# VASP energy in eV/atom: -3.755
# Symmetry: R-3
# Formation energy from raw total energies in eV/f.u.: -17.39

[2]
# BBrOF2 | Alexandria | PBE | optimized geometry
data_BBrOF2
_symmetry_space_group_name_H-M 'P 1'
_symmetry_Int_Tables_number 1
_cell_length_a 4.6900
_cell_length_b 4.6900
_cell_length_c 3.7348
_cell_angle_alpha 90.00
_cell_angle_beta 90.00
_cell_angle_gamma 90.00
loop_
_symmetry_equiv_pos_as_xyz
'x,y,z'
loop_
_atom_site_label
_atom_site_fract_x
_atom_site_fract_y
_atom_site_fract_z
B1 0.0000 0.0000 0.0000
Br1 0.5000 0.5000 0.5000
O1 0.5000 0.5000 0.0000
F1 0.0000 0.5000 0.5000
F2 0.5000 0.0000 0.5000
# Density in g/cm³: 2.93
# VASP energy in eV/atom: -2.702
# Symmetry: P4/mmm
# Relative energy among the computed polymorphs in meV/atom: 991.8
# Formation energy from raw total energies in eV/f.u.: 3.54

[3]
# Ce2Al3Re | Alexandria | PBE | optimized geometry
data_Ce2Al3Re
_symmetry_space_group_name_H-M 'P 1'
_symmetry_Int_Tables_number 1
_cell_length_a 5.5318
_cell_length_b 5.5318
_cell_length_c 5.5318
_cell_angle_alpha 59.40
_cell_angle_beta 59.40
_cell_angle_gamma 59.40
loop_
_symmetry_equiv_pos_as_xyz
'x,y,z'
loop_
_atom_site_label
_atom_site_fract_x
_atom_site_fract_y
_atom_site_fract_z
Ce1 0.1293 0.1293 0.1293
Ce2 0.8707 0.8707 0.8707
Al1 0.0000 0.5000 0.5000
Al2 0.5000 0.0000 0.5000
Al3 0.5000 0.5000 0.0000
Re1 0.5000 0.5000 0.5000
# Density in g/cm³: 7.70
# VASP energy in eV/atom: -6.278
# Energy of formation from the pure elements in eV per atom: -0.354
# Symmetry: R-3m